Material: TbHoTh2Se4
Method: DFT, PBE
State: relaxed

abc: 4.0611 7.4814 6.9636
angles: 71.56 90.00 90.00
With the nearest neighbours (Å) after each atom.
Atoms (fractional coordinates):
Se (0.0000, 0.2669, 0.2428)  2 Ho 2.86, 1 Tb 2.87, 3 Th 3.00-3.01
Se (0.5000, 0.2657, 0.7467)  1 Ho 2.85, 2 Tb 2.87, 3 Th 2.99-3.01
Se (0.5000, 0.7343, 0.2533)  1 Ho 2.85, 2 Tb 2.87, 3 Th 2.99-3.01
Se (0.0000, 0.7331, 0.7572)  2 Ho 2.86, 1 Tb 2.87, 3 Th 3.00-3.01
Th (0.0000, 0.0000, 0.0000)  6 Se 2.99-3.00
Th (0.5000, 0.0000, 0.5000)  6 Se 3.01
Tb (0.0000, 0.5000, 0.5000)  6 Se 2.87
Ho (0.5000, 0.5000, 0.0000)  6 Se 2.85-2.86

The value obtained for the density of states at the Fermi level is 5.48 states/eV per cell.


Material: TbHo3Th4Se8
Method: DFT, PBE
State: relaxed

abc: 8.0603 8.4924 8.0606
angles: 118.33 120.00 90.00
With the nearest neighbours (Å) after each atom.
Atoms (fractional coordinates):
Ho (0.0000, 0.5000, 0.5000)  6 Se 2.85
Ho (0.5000, 0.5000, 0.5000)  6 Se 2.85
Ho (0.5000, 0.5000, 0.0000)  6 Se 2.85
Se (0.7440, 0.7321, 0.4880)  3 Ho 2.85, 3 Th 3.01
Se (0.7547, 0.2668, 0.5094)  2 Ho 2.85, 1 Tb 2.87, 3 Th 2.99-3.01
Se (0.2453, 0.7332, 0.4906)  2 Ho 2.85, 1 Tb 2.87, 3 Th 2.99-3.01
Se (0.7548, 0.2668, 0.0121)  2 Ho 2.85, 1 Tb 2.87, 3 Th 2.99-3.01
Se (0.2560, 0.2679, 0.5120)  3 Ho 2.85, 3 Th 3.01
Se (0.2452, 0.7332, 0.9879)  2 Ho 2.85, 1 Tb 2.87, 3 Th 2.99-3.01
Se (0.7427, 0.7332, 0.9879)  2 Ho 2.85, 1 Tb 2.87, 3 Th 2.99-3.01
Se (0.2573, 0.2668, 0.0121)  2 Ho 2.85, 1 Tb 2.87, 3 Th 2.99-3.01
Th (0.5000, 0.0000, 0.5000)  6 Se 3.01
Th (0.0000, 0.0000, 0.5000)  6 Se 3.01
Th (0.5000, 0.0000, 0.0000)  6 Se 2.99
Th (0.0000, 0.0000, 0.0000)  6 Se 3.01
Tb (0.0000, 0.5000, 0.0000)  6 Se 2.87

The value obtained for the density of states at the Fermi level is 6.12 states/eV per cell.


Material: TbHoTl2Se4
Method: DFT, PBE
State: relaxed

abc: 4.1863 7.2512 8.1405
angles: 107.26 90.00 90.00
With the nearest neighbours (Å) after each atom.
Atoms (fractional coordinates):
Se (0.0000, 0.2633, 0.7954)  1 Ho 2.88, 2 Tb 2.90
Se (0.5000, 0.2326, 0.2037)  2 Ho 2.88, 1 Tb 2.90
Se (0.0000, 0.7367, 0.2046)  1 Ho 2.88, 2 Tb 2.90
Se (0.5000, 0.7674, 0.7963)  2 Ho 2.88, 1 Tb 2.90
Tl (0.5000, 0.0000, 0.5000)  6 Se 3.33
Tl (0.0000, 0.5000, 0.5000)  6 Se 3.34
Tb (0.5000, 0.5000, 0.0000)  6 Se 2.90
Ho (0.0000, 0.0000, 0.0000)  6 Se 2.88


Material: Tb3HoTl3Se8
Method: DFT, PBE
State: relaxed

abc: 8.3493 8.3505 9.0380
angles: 117.52 90.00 120.00
With the nearest neighbours (Å) after each atom.
Atoms (fractional coordinates):
Tb (0.5000, 0.0000, 0.5000)  6 Se 2.89
Tb (0.5000, 0.5000, 0.5000)  6 Se 2.89
Tb (0.0000, 0.5000, 0.5000)  6 Se 2.89
Se (0.7654, 0.5307, 0.2935)  1 Ho 2.87, 2 Tb 2.89
Se (0.2346, 0.4693, 0.7065)  1 Ho 2.87, 2 Tb 2.89
Se (0.2635, 0.5269, 0.2911)  3 Tb 2.89
Se (0.2626, 0.0280, 0.2937)  1 Ho 2.87, 2 Tb 2.89
Se (0.7374, 0.9720, 0.7063)  1 Ho 2.87, 2 Tb 2.89
Se (0.7654, 0.0280, 0.2937)  1 Ho 2.87, 2 Tb 2.89
Se (0.7365, 0.4731, 0.7089)  3 Tb 2.89
Se (0.2346, 0.9720, 0.7063)  1 Ho 2.87, 2 Tb 2.89
Tl (0.5000, 0.5000, 0.0000)  6 Se 3.28-3.29
Tl (0.0000, 0.5000, 0.0000)  6 Se 3.28-3.29
Tl (0.0000, 0.0000, 0.0000)  6 Se 3.28-3.29
Ho (0.0000, 0.0000, 0.5000)  6 Se 2.87

The value obtained for the density of states at the Fermi level is 7.17 states/eV per cell.


Material: TbHoTlSe
Method: DFT, PBE
State: relaxed

abc: 3.8844 3.8853 8.5774
angles: 90.00 103.01 120.05
With the nearest neighbours (Å) after each atom.
Atoms (fractional coordinates):
Se (0.3030, 0.5494, 0.8673)  3 Tb 2.84, 3 Ho 2.84-2.85
Tl (0.9695, 0.3829, 0.3682)  3 Ho 3.27-3.28, 3 Tb 3.29
Tb (0.1100, 0.9529, 0.0781)  3 Se 2.84
Ho (0.4954, 0.1456, 0.6560)  3 Se 2.84-2.85

The value obtained for the density of states at the Fermi level is 2.96 states/eV per cell.


Material: Tb3Ho4TmSe8
Method: DFT, PBE
State: relaxed

abc: 8.1311 8.1329 8.1318
angles: 119.99 120.00 90.00
With the nearest neighbours (Å) after each atom.
Atoms (fractional coordinates):
Ho (0.0000, 0.0000, 0.5000)  6 Se 2.86
Ho (0.5000, 0.0000, 0.5000)  6 Se 2.86
Ho (0.0000, 0.0000, 0.0000)  6 Se 2.86
Ho (0.5000, 0.0000, 0.0000)  6 Se 2.89
Se (0.7542, 0.7513, 0.0027)  1 Tm 2.86, 3 Ho 2.86-2.89, 2 Tb 2.89
Se (0.2486, 0.2459, 0.4973)  3 Ho 2.86, 3 Tb 2.89
Se (0.7514, 0.2487, 0.9973)  1 Tm 2.86, 3 Ho 2.86-2.89, 2 Tb 2.89
Se (0.7514, 0.7541, 0.5027)  3 Ho 2.86, 3 Tb 2.89
Se (0.2486, 0.7513, 0.0027)  1 Tm 2.86, 3 Ho 2.86-2.89, 2 Tb 2.89
Se (0.2486, 0.7514, 0.4973)  3 Ho 2.86-2.89, 1 Tm 2.86, 2 Tb 2.89
Se (0.7514, 0.2486, 0.5027)  3 Ho 2.86-2.89, 1 Tm 2.86, 2 Tb 2.89
Se (0.2458, 0.2487, 0.9973)  1 Tm 2.86, 3 Ho 2.86-2.89, 2 Tb 2.89
Tb (0.5000, 0.5000, 0.0000)  6 Se 2.89
Tb (0.0000, 0.5000, 0.5000)  6 Se 2.89
Tb (0.5000, 0.5000, 0.5000)  6 Se 2.89
Tm (0.0000, 0.5000, 0.0000)  6 Se 2.86

The value obtained for the density of states at the Fermi level is 10.37 states/eV per cell.


Calculated formation energy without anion corrections (eV per atom), listed in the same order as above: -1.636, -1.639, -1.387, -1.394, -0.996, -1.728